No. 1
This record from Alexandria describes a relaxed structure of Zr2InHg. The functional is PBE-GGA.

Properties
* SG: No. 99
* formation energy: -0.116 eV per atom
* total magnetic moment: 0.00 μB per formula unit

abc: 3.139 3.139 9.251
angles: 90.00 90.00 90.00
Fractional coordinates of all 4 atoms:
Zr (0.000, 0.000, 0.000)
Zr (0.500, 0.500, 0.247)
In (0.500, 0.500, 0.745)
Hg (0.000, 0.000, 0.492)

***

No. 2
This record from Alexandria describes a relaxed structure of Zr4In2Hg5. The functional is PBE-GGA.

Properties
* SG: No. 2
* formation energy: -0.114 eV per atom
* total magnetic moment: 0.00 μB per formula unit

abc: 4.459 6.701 8.577
angles: 81.23 75.05 89.99
Fractional coordinates of all 11 atoms:
Zr (0.049, 0.228, 0.401)
Zr (0.317, 0.587, 0.866)
Zr (0.683, 0.413, 0.134)
Zr (0.951, 0.772, 0.599)
In (0.411, 0.048, 0.678)
In (0.589, 0.952, 0.322)
Hg (0.135, 0.680, 0.230)
Hg (0.228, 0.144, 0.045)
Hg (0.500, 0.500, 0.500)
Hg (0.772, 0.856, 0.955)
Hg (0.865, 0.320, 0.770)

***

No. 3
This record from Alexandria describes a relaxed structure of ZrInHg. The functional is PBE-GGA.

Properties
* SG: No. 216
* formation energy: 0.088 eV per atom
* total magnetic moment: 0.00 μB per formula unit
* energy relative to the lowest polymorph listed for this composition: 204 meV per atom

abc: 4.723 4.723 4.723
angles: 60.00 60.00 60.00
Fractional coordinates of all 3 atoms:
Zr (0.000, 0.000, 0.000)
In (0.500, 0.500, 0.500)
Hg (0.750, 0.750, 0.750)

***

No. 4
This record from Alexandria describes a relaxed structure of Zr2InHg. The functional is PBE-GGA.

Properties
* SG: No. 6
* formation energy: -0.189 eV per atom
* total magnetic moment: 0.00 μB per formula unit

abc: 3.200 5.169 5.314
angles: 90.00 90.88 90.00
Fractional coordinates of all 4 atoms:
Zr (0.000, 0.000, 0.000)
Zr (0.041, 0.500, 0.630)
In (0.516, 0.000, 0.504)
Hg (0.529, 0.500, 0.129)

***

No. 5
This record from Alexandria describes a relaxed structure of ZrInHg2. The functional is PBE-GGA.

Properties
* SG: No. 216
* formation energy: 0.147 eV per atom
* total magnetic moment: 0.00 μB per formula unit

abc: 5.049 5.049 5.049
angles: 60.00 60.00 60.00
Fractional coordinates of all 4 atoms:
Zr (0.000, 0.000, 0.000)
In (0.250, 0.250, 0.250)
Hg (0.500, 0.500, 0.500)
Hg (0.750, 0.750, 0.750)

***

No. 6
This record from Alexandria describes a relaxed structure of Zr6InHg. The functional is PBE-GGA.

Properties
* SG: No. 200
* formation energy: -0.213 eV per atom
* total magnetic moment: 0.00 μB per formula unit
* energy relative to the lowest polymorph listed for this composition: 0 meV per atom

abc: 5.623 5.623 5.623
angles: 90.00 90.00 90.00
Fractional coordinates of all 8 atoms:
Zr (0.000, 0.251, 0.500)
Zr (0.000, 0.749, 0.500)
Zr (0.251, 0.500, 0.000)
Zr (0.500, 0.000, 0.251)
Zr (0.500, 0.000, 0.749)
Zr (0.749, 0.500, 0.000)
In (0.000, 0.000, 0.000)
Hg (0.500, 0.500, 0.500)

***

No. 7
This record from Alexandria describes a relaxed structure of Zr6InHg. The functional is PBE-GGA.

Properties
* SG: No. 123
* formation energy: -0.196 eV per atom
* total magnetic moment: 0.00 μB per formula unit
* energy relative to the lowest polymorph listed for this composition: 17 meV per atom

abc: 4.460 4.460 8.914
angles: 90.00 90.00 90.00
Fractional coordinates of all 8 atoms:
Zr (0.000, 0.000, 0.000)
Zr (0.000, 0.000, 0.500)
Zr (0.000, 0.500, 0.249)
Zr (0.000, 0.500, 0.751)
Zr (0.500, 0.000, 0.249)
Zr (0.500, 0.000, 0.751)
In (0.500, 0.500, 0.500)
Hg (0.500, 0.500, 0.000)

***

No. 8
This record from Alexandria describes a relaxed structure of Zr6In3Hg. The functional is PBE-GGA.

Properties
* SG: No. 11
* formation energy: -0.205 eV per atom
* total magnetic moment: 0.00 μB per formula unit
* energy relative to the lowest polymorph listed for this composition: 0 meV per atom

abc: 8.570 5.165 10.967
angles: 90.00 112.78 90.00
Fractional coordinates of all 20 atoms:
Zr (0.019, 0.250, 0.174)
Zr (0.020, 0.250, 0.672)
Zr (0.190, 0.750, 0.635)
Zr (0.225, 0.250, 0.970)
Zr (0.377, 0.750, 0.429)
Zr (0.427, 0.250, 0.772)
Zr (0.573, 0.750, 0.228)
Zr (0.623, 0.250, 0.571)
Zr (0.775, 0.750, 0.030)
Zr (0.810, 0.250, 0.365)
Zr (0.980, 0.750, 0.328)
Zr (0.981, 0.750, 0.826)
In (0.174, 0.750, 0.128)
In (0.206, 0.250, 0.474)
In (0.413, 0.250, 0.276)
In (0.587, 0.750, 0.724)
In (0.794, 0.750, 0.526)
In (0.826, 0.250, 0.872)
Hg (0.384, 0.750, 0.927)
Hg (0.616, 0.250, 0.073)

***

No. 9
This record from Alexandria describes a relaxed structure of ZrInHg2. The functional is PBE-GGA.

Properties
* SG: No. 122
* formation energy: 0.081 eV per atom
* total magnetic moment: 0.00 μB per formula unit

abc: 6.419 6.419 6.419
angles: 103.35 103.35 122.56
Fractional coordinates of all 8 atoms:
Zr (0.000, 0.000, 0.000)
Zr (0.750, 0.250, 0.500)
In (0.250, 0.750, 0.500)
In (0.500, 0.500, 0.000)
Hg (0.128, 0.625, 0.003)
Hg (0.375, 0.378, 0.503)
Hg (0.622, 0.125, 0.997)
Hg (0.875, 0.872, 0.497)

***

No. 10
This record from Alexandria describes a relaxed structure of Zr2In3Hg2. The functional is PBE-GGA.

Properties
* SG: No. 12
* formation energy: -0.076 eV per atom
* total magnetic moment: 0.00 μB per formula unit

abc: 7.389 7.389 7.775
angles: 112.66 112.66 24.98
Fractional coordinates of all 7 atoms:
Zr (0.199, 0.199, 0.254)
Zr (0.801, 0.801, 0.746)
In (0.416, 0.416, 0.559)
In (0.500, 0.500, 0.000)
In (0.584, 0.584, 0.441)
Hg (0.142, 0.142, 0.832)
Hg (0.858, 0.858, 0.168)

***

No. 11
This record from Alexandria describes a relaxed structure of ZrInHg. The functional is PBE-GGA.

Properties
* SG: No. 42
* formation energy: -0.039 eV per atom
* total magnetic moment: 0.00 μB per formula unit
* energy relative to the lowest polymorph listed for this composition: 77 meV per atom

abc: 7.921 7.632 3.230
angles: 83.09 73.03 23.88
Fractional coordinates of all 3 atoms:
Zr (0.000, 0.000, 0.000)
In (0.332, 0.332, 0.668)
Hg (0.664, 0.664, 0.336)

***

No. 12
This record from Alexandria describes a relaxed structure of Zr2InHg. The functional is PBE-GGA.

Properties
* SG: No. 160
* formation energy: -0.055 eV per atom
* total magnetic moment: 0.00 μB per formula unit

abc: 10.068 10.068 10.068
angles: 19.04 19.04 19.04
Fractional coordinates of all 4 atoms:
Zr (0.000, 0.000, 0.000)
Zr (0.253, 0.253, 0.253)
In (0.499, 0.499, 0.499)
Hg (0.749, 0.749, 0.749)

***

No. 13
This record from Alexandria describes a relaxed structure of ZrInHg. The functional is PBE-GGA.

Properties
* SG: No. 216
* formation energy: 0.203 eV per atom
* total magnetic moment: 0.00 μB per formula unit
* energy relative to the lowest polymorph listed for this composition: 319 meV per atom

abc: 4.831 4.831 4.831
angles: 60.00 60.00 60.00
Fractional coordinates of all 3 atoms:
Zr (0.000, 0.000, 0.000)
In (0.250, 0.250, 0.250)
Hg (0.750, 0.750, 0.750)

***

No. 14
This record from Alexandria describes a relaxed structure of ZrInHg2. The functional is PBE-GGA.

Properties
* SG: No. 119
* formation energy: -0.004 eV per atom
* total magnetic moment: 0.00 μB per formula unit

abc: 5.710 5.710 5.710
angles: 135.32 135.32 65.03
Fractional coordinates of all 4 atoms:
Zr (0.000, 0.000, 0.000)
In (0.750, 0.250, 0.500)
Hg (0.250, 0.750, 0.500)
Hg (0.500, 0.500, 0.000)

***

No. 15
This record from Alexandria describes a relaxed structure of ZrInHg2. The functional is PBE-GGA.

Properties
* SG: No. 65
* formation energy: -0.052 eV per atom
* total magnetic moment: 0.00 μB per formula unit

abc: 5.404 5.404 3.330
angles: 90.00 90.00 109.65
Fractional coordinates of all 4 atoms:
Zr (0.000, 0.000, 0.000)
In (0.500, 0.500, 0.000)
Hg (0.000, 0.500, 0.500)
Hg (0.500, 0.000, 0.500)

***

No. 16
This record from Alexandria describes a relaxed structure of ZrInHg. The functional is PBE-GGA.

Properties
* SG: No. 156
* formation energy: -0.039 eV per atom
* total magnetic moment: 0.00 μB per formula unit
* energy relative to the lowest polymorph listed for this composition: 77 meV per atom

abc: 3.250 3.250 7.596
angles: 90.00 90.00 120.00
Fractional coordinates of all 3 atoms:
Zr (0.000, 0.000, 0.000)
In (0.333, 0.667, 0.665)
Hg (0.667, 0.333, 0.323)

***

No. 17
This record from Alexandria describes a relaxed structure of Zr2InHg. The functional is PBE-GGA.

Properties
* SG: No. 123
* formation energy: -0.250 eV per atom
* total magnetic moment: 0.00 μB per formula unit

abc: 4.466 4.466 4.375
angles: 90.00 90.00 90.00
Fractional coordinates of all 4 atoms:
Zr (0.000, 0.500, 0.000)
Zr (0.500, 0.000, 0.000)
In (0.000, 0.000, 0.500)
Hg (0.500, 0.500, 0.500)

***

No. 18
This record from Alexandria describes a relaxed structure of ZrInHg2. The functional is PBE-GGA.

Properties
* SG: No. 123
* formation energy: -0.025 eV per atom
* total magnetic moment: 0.00 μB per formula unit

abc: 3.466 3.466 7.637
angles: 90.00 90.00 90.00
Fractional coordinates of all 4 atoms:
Zr (0.000, 0.000, 0.000)
In (0.000, 0.000, 0.500)
Hg (0.500, 0.500, 0.243)
Hg (0.500, 0.500, 0.757)

***

No. 19
This record from Alexandria describes a relaxed structure of Zr6InHg8. The functional is PBE-GGA.

Properties
* SG: No. 148
* formation energy: 0.030 eV per atom
* total magnetic moment: 3.15 μB per formula unit

abc: 7.765 7.765 7.765
angles: 65.02 65.02 65.02
Fractional coordinates of all 15 atoms:
Zr (0.124, 0.813, 0.413)
Zr (0.187, 0.587, 0.876)
Zr (0.413, 0.124, 0.813)
Zr (0.587, 0.876, 0.187)
Zr (0.813, 0.413, 0.124)
Zr (0.876, 0.187, 0.587)
In (0.500, 0.500, 0.500)
Hg (0.045, 0.397, 0.694)
Hg (0.203, 0.203, 0.203)
Hg (0.306, 0.955, 0.603)
Hg (0.397, 0.694, 0.045)
Hg (0.603, 0.306, 0.955)
Hg (0.694, 0.045, 0.397)
Hg (0.797, 0.797, 0.797)
Hg (0.955, 0.603, 0.306)

***

No. 20
This record from Alexandria describes a relaxed structure of ZrInHg2. The functional is PBE-GGA.

Properties
* SG: No. 99
* formation energy: -0.025 eV per atom
* total magnetic moment: 0.00 μB per formula unit

abc: 3.248 3.248 8.720
angles: 90.00 90.00 90.00
Fractional coordinates of all 4 atoms:
Zr (0.000, 0.000, 0.000)
In (0.500, 0.500, 0.759)
Hg (0.000, 0.000, 0.497)
Hg (0.500, 0.500, 0.238)

***

No. 21
This record from Alexandria describes a relaxed structure of Zr2InHg. The functional is PBE-GGA.

Properties
* SG: No. 65
* formation energy: -0.257 eV per atom
* total magnetic moment: 0.00 μB per formula unit

abc: 5.385 5.385 3.169
angles: 90.00 90.00 108.22
Fractional coordinates of all 4 atoms:
Zr (0.000, 0.500, 0.000)
Zr (0.500, 0.000, 0.000)
In (0.000, 0.000, 0.500)
Hg (0.500, 0.500, 0.500)

***

No. 22
This record from Alexandria describes a relaxed structure of Zr2In2Hg. The functional is PBE-GGA.

Properties
* SG: No. 127
* formation energy: -0.020 eV per atom
* total magnetic moment: 0.00 μB per formula unit
* energy relative to the lowest polymorph listed for this composition: 145 meV per atom

abc: 8.405 8.405 3.451
angles: 90.00 90.00 90.00
Fractional coordinates of all 10 atoms:
Zr (0.125, 0.375, 0.000)
Zr (0.375, 0.875, 0.000)
Zr (0.625, 0.125, 0.000)
Zr (0.875, 0.625, 0.000)
In (0.175, 0.675, 0.500)
In (0.325, 0.175, 0.500)
In (0.675, 0.825, 0.500)
In (0.825, 0.325, 0.500)
Hg (0.000, 0.000, 0.000)
Hg (0.500, 0.500, 0.000)

***

No. 23
This record from Alexandria describes a relaxed structure of ZrInHg. The functional is PBE-GGA.

Properties
* SG: No. 156
* formation energy: -0.115 eV per atom
* total magnetic moment: 0.00 μB per formula unit
* energy relative to the lowest polymorph listed for this composition: 1 meV per atom

abc: 4.794 4.794 3.366
angles: 90.00 90.00 120.00
Fractional coordinates of all 3 atoms:
Zr (0.000, 0.000, 0.000)
In (0.333, 0.667, 0.558)
Hg (0.667, 0.333, 0.378)

***

No. 24
This record from Alexandria describes a relaxed structure of Zr2InHg. The functional is PBE-GGA.

Properties
* SG: No. 122
* formation energy: 0.101 eV per atom
* total magnetic moment: 0.00 μB per formula unit

abc: 6.389 6.389 6.389
angles: 102.65 102.65 124.19
Fractional coordinates of all 8 atoms:
Zr (0.118, 0.625, 0.993)
Zr (0.375, 0.368, 0.493)
Zr (0.632, 0.125, 0.007)
Zr (0.875, 0.882, 0.507)
In (0.250, 0.750, 0.500)
In (0.500, 0.500, 0.000)
Hg (0.000, 0.000, 0.000)
Hg (0.750, 0.250, 0.500)

***

No. 25
This record from Alexandria describes a relaxed structure of Zr3In2Hg2. The functional is PBE-GGA.

Properties
* SG: No. 65
* formation energy: -0.165 eV per atom
* total magnetic moment: 0.00 μB per formula unit

abc: 10.956 10.956 3.196
angles: 90.00 90.00 156.24
Fractional coordinates of all 7 atoms:
Zr (0.000, 0.000, 0.000)
Zr (0.146, 0.854, 0.000)
Zr (0.854, 0.146, 0.000)
In (0.289, 0.711, 0.500)
In (0.711, 0.289, 0.500)
Hg (0.429, 0.571, 0.500)
Hg (0.571, 0.429, 0.500)

***

No. 26
This record from Alexandria describes a relaxed structure of Zr2InHg. The functional is PBE-GGA.

Properties
* SG: No. 44
* formation energy: -0.188 eV per atom
* total magnetic moment: 0.00 μB per formula unit

abc: 6.011 6.011 6.011
angles: 147.82 128.75 61.82
Fractional coordinates of all 4 atoms:
Zr (0.000, 0.000, 0.000)
Zr (0.748, 0.248, 0.500)
In (0.264, 0.764, 0.500)
Hg (0.502, 0.502, 0.000)

***

No. 27
This record from Alexandria describes a relaxed structure of Zr4InHg. The functional is PBE-GGA.

Properties
* SG: No. 65
* formation energy: 0.758 eV per atom
* total magnetic moment: 1.23 μB per formula unit
* energy relative to the lowest polymorph listed for this composition: 936 meV per atom

abc: 5.759 5.759 5.162
angles: 90.00 90.00 90.14
Fractional coordinates of all 6 atoms:
Zr (0.161, 0.839, 0.000)
Zr (0.333, 0.333, 0.500)
Zr (0.667, 0.667, 0.500)
Zr (0.839, 0.161, 0.000)
In (0.500, 0.500, 0.000)
Hg (0.000, 0.000, 0.500)